1.
! TlNiS3 SCAN PBEsol geometry; values from VASP
&SYSTEM
  ibrav = 0, nat = 5, ntyp = 3
/
ATOMIC_SPECIES
Ni 58.69 Ni.upf
Tl 204.38 Tl.upf
S 32.06 S.upf
ATOMIC_POSITIONS angstrom
Ni 0.000 0.000 0.000
Tl 2.251 2.251 2.251
S 0.000 2.251 0.000
S 0.000 0.000 2.251
S 2.251 0.000 0.000
CELL_PARAMETERS angstrom
4.502 0.000 0.000
0.000 4.502 0.000
0.000 0.000 4.502
! * SG: Pm-3m
! * E: -116.36 eV/cell

2.
! TlNi3S SCAN PBEsol geometry; values from VASP
&SYSTEM
  ibrav = 0, nat = 5, ntyp = 3
/
ATOMIC_SPECIES
Ni 58.69 Ni.upf
Tl 204.38 Tl.upf
S 32.06 S.upf
ATOMIC_POSITIONS angstrom
Ni 0.000 2.329 0.000
Ni 0.000 0.000 2.329
Ni 2.329 0.000 0.000
Tl 0.000 0.000 0.000
S 2.329 2.329 2.329
CELL_PARAMETERS angstrom
4.659 0.000 0.000
0.000 4.659 0.000
0.000 0.000 4.659
! * SG: Pm-3m
! * E: -123.16 eV/cell

3.
! NiW3S SCAN PBEsol geometry; values from VASP
&SYSTEM
  ibrav = 0, nat = 5, ntyp = 3
/
ATOMIC_SPECIES
Ni 58.69 Ni.upf
S 32.06 S.upf
W 183.84 W.upf
ATOMIC_POSITIONS angstrom
Ni -3.151 1.991 -0.400
S 0.000 0.000 0.000
W -1.979 -0.663 0.574
W -0.384 1.928 0.906
W -0.789 0.726 -1.880
CELL_PARAMETERS angstrom
-1.578 1.452 -3.760
-3.957 -1.327 1.148
-0.767 3.856 1.811
! * SG: Pm-3m
! * E: -228.46 eV/cell

4.
! YNi3S SCAN PBEsol geometry; values from VASP
&SYSTEM
  ibrav = 0, nat = 5, ntyp = 3
/
ATOMIC_SPECIES
Y 88.91 Y.upf
Ni 58.69 Ni.upf
S 32.06 S.upf
ATOMIC_POSITIONS angstrom
Y -0.503 -3.592 0.127
Ni 1.189 -1.423 -0.975
Ni 0.033 -1.166 1.741
Ni -1.725 -1.003 -0.639
S 0.000 0.000 0.000
CELL_PARAMETERS angstrom
-3.450 -2.007 -1.278
2.378 -2.846 -1.951
0.066 -2.331 3.482
! * SG: Pm-3m
! * E: -87.87 eV/cell

Number 1: D(E_F) 6.92 states/eV/cell, raw formation energy 1.05 eV per formula unit, V 18.3 Å³/atom. Number 2: D(E_F) 2.95 states/eV/cell, raw formation energy 7.35 eV per formula unit, V 20.2 Å³/atom. Number 3: D(E_F) 6.84 states/eV/cell, raw formation energy 6.41 eV per formula unit, V 16.2 Å³/atom. Number 4: D(E_F) 1.54 states/eV/cell, raw formation energy -1.88 eV per formula unit, V 14.7 Å³/atom.